Below is a relaxed Ce2HO crystal, with properties calculated at the GGA-PBE level.

Computed properties:
Spin magnetization in Bohr magnetons per cell: 1.015
Electronic total energy in eV/atom: -6.398
Density of states at the Fermi level in states/eV per cell: 6.41
Space-group type: R3m, No. 160

a = 6.7407 Å, b = 6.7407 Å, c = 6.7407 Å
α = 28.88°, β = 28.88°, γ = 28.88°
Closest atoms and distances in Å follow each position.
Fractional positions:
Ce1 0.0000 0.0000 0.0000  3 H 2.51, 3 O 2.56
Ce2 0.1687 0.1687 0.1687  3 O 2.51, 3 H 2.51
H1 0.5842 0.5842 0.5842  6 Ce 2.51
O1 0.7531 0.7531 0.7531  6 Ce 2.51-2.56



Below is a relaxed Dy2CuGe4Rh3 crystal, with properties calculated at the GGA-PBE level.

Computed properties:
Spin magnetization in Bohr magnetons per cell: 0.000
Density of states at the Fermi level in states/eV per cell: 5.76
Space-group type: P-4m2, No. 115
ΔE_f in eV/atom: -0.724

a = 4.2003 Å, b = 4.2003 Å, c = 10.1380 Å
α = 90.00°, β = 90.00°, γ = 90.00°
Closest atoms and distances in Å follow each position.
Fractional positions:
Dy1 0.0000 0.5000 0.2457  6 Rh 3.20-3.33, 8 Ge 3.22-3.26, 2 Cu 3.33
Dy2 0.5000 0.0000 0.7543  6 Rh 3.20-3.33, 8 Ge 3.22-3.26, 2 Cu 3.33
Cu1 0.0000 0.0000 0.5000  4 Ge 2.49
Ge1 0.0000 0.0000 0.0000  4 Rh 2.48
Ge2 0.0000 0.5000 0.6318  3 Rh 2.42-2.49, 2 Cu 2.49
Ge3 0.5000 0.0000 0.3682  3 Rh 2.42-2.49, 2 Cu 2.49
Ge4 0.5000 0.5000 0.0000  4 Rh 2.48
Rh1 0.0000 0.5000 0.8706  5 Ge 2.42-2.48
Rh2 0.5000 0.0000 0.1294  5 Ge 2.42-2.48
Rh3 0.5000 0.5000 0.5000  4 Ge 2.49



Below is a relaxed SrCuSe crystal, with properties calculated at the GGA-PBE level.

Computed properties:
Energy relative to the elements, uncorrected in eV/f.u.: -2.43
Spin magnetization in Bohr magnetons per cell: 0.000
Density of states at the Fermi level in states/eV per cell: 2.37
Space-group type: P-6m2, No. 187

a = 4.2930 Å, b = 4.2930 Å, c = 4.3848 Å
α = 90.00°, β = 90.00°, γ = 120.00°
Closest atoms and distances in Å follow each position.
Fractional positions:
Sr1 0.0000 0.0000 0.0000  6 Se 3.31, 6 Cu 3.31
Cu1 0.6667 0.3333 0.5000  3 Se 2.48
Se1 0.3333 0.6667 0.5000  3 Cu 2.48